Entry 1:
ThMgInAu PBE-GGA relaxed; DFT total energy = -16.69 eV per cell; calculated formation energy = -0.415 eV per atom; V = 24.35 Å³ per atom; D(E_F) = 0.491 states/eV per atom; symmetry = F-43m, No. 216
1.0
5.1646 0.0000 0.0000
2.5823 4.4727 0.0000
2.5823 1.4909 4.2169
Mg In Th Au
1 1 1 1
direct
0.2500 0.2500 0.2500
0.5000 0.5000 0.5000
0.7500 0.7500 0.7500
0.0000 0.0000 0.0000

Entry 2:
GdTh2In PBE-GGA relaxed; DFT total energy = -32.40 eV per cell; calculated formation energy = -0.185 eV per atom; V = 29.80 Å³ per atom; D(E_F) = 1.152 states/eV per atom; symmetry = P4/mmm, No. 123
1.0
-3.9650 -3.0732 -0.5239
2.1978 -2.1982 -3.7382
2.0494 -3.1670 3.0672
Gd Th In
1 2 1
direct
0.5000 0.0000 0.0000
0.0000 0.5000 0.0000
0.0000 0.0000 0.5000
0.5000 0.5000 0.5000

Entry 3:
In12Sb5I3 PBE-GGA relaxed; DFT total energy = -223.77 eV per cell; formation energy from raw total energies = 109.1 meV per atom; V = 39.56 Å³ per atom; D(E_F) = 0.715 states/eV per atom; symmetry = Ia-3d, No. 230
1.0
-10.4519 11.3494 -4.3089
-7.9599 -13.0858 4.6926
9.0369 5.3739 12.0861
In I Sb
48 12 20
direct
0.5546 0.3337 0.9098
0.4454 0.6663 0.0902
0.3552 0.4098 0.0761
0.9454 0.3552 0.2791
0.4239 0.1448 0.5902
0.9098 0.0761 0.8552
0.4098 0.0546 0.3337
0.7209 0.5761 0.1663
0.5546 0.2209 0.1448
0.0761 0.9098 0.3552
0.9454 0.5902 0.1663
0.7791 0.4454 0.3552
0.5761 0.7209 0.6663
0.2791 0.8552 0.9454
0.1448 0.7209 0.5546
0.6663 0.2209 0.5761
0.7209 0.1448 0.0546
0.3552 0.9454 0.7791
0.4239 0.2791 0.3337
0.1448 0.4239 0.0902
0.2209 0.5546 0.6448
0.5761 0.8552 0.4098
0.6663 0.4454 0.5902
0.9239 0.8337 0.7791
0.0546 0.4098 0.8337
0.8552 0.2791 0.4454
0.7791 0.3337 0.9239
0.8552 0.5761 0.9098
0.5902 0.9454 0.6663
0.4098 0.3552 0.5761
0.0902 0.9239 0.1448
0.3337 0.7791 0.4239
0.9239 0.0902 0.6448
0.2209 0.6663 0.0761
0.1663 0.0761 0.7209
0.5902 0.6448 0.4239
0.8337 0.9098 0.0546
0.2791 0.4239 0.8337
0.1663 0.0902 0.9454
0.9098 0.8337 0.5546
0.0761 0.1663 0.2209
0.8337 0.9239 0.2791
0.6448 0.0546 0.2209
0.0546 0.6448 0.7209
0.0902 0.1663 0.4454
0.6448 0.5902 0.9239
0.3337 0.5546 0.4098
0.4454 0.7791 0.8552
0.7500 0.8750 0.6250
0.1250 0.8750 0.7500
0.1250 0.2500 0.8750
0.7500 0.3750 0.1250
0.8750 0.7500 0.1250
0.3750 0.6250 0.2500
0.2500 0.1250 0.3750
0.3750 0.7500 0.6250
0.2500 0.6250 0.8750
0.6250 0.2500 0.3750
0.6250 0.3750 0.7500
0.8750 0.1250 0.2500
0.1250 0.7500 0.3750
0.7500 0.6250 0.3750
0.7500 0.1250 0.8750
0.5000 0.5000 0.0000
0.5000 0.0000 0.5000
0.2500 0.3750 0.6250
0.8750 0.2500 0.6250
0.6250 0.8750 0.2500
0.5000 0.0000 0.0000
0.1250 0.3750 0.2500
0.5000 0.5000 0.5000
0.0000 0.5000 0.0000
0.0000 0.5000 0.5000
0.6250 0.7500 0.8750
0.8750 0.6250 0.7500
0.0000 0.0000 0.0000
0.3750 0.2500 0.1250
0.0000 0.0000 0.5000
0.2500 0.8750 0.1250
0.3750 0.1250 0.7500

Entry 4:
Li2Ir2Pd PBE-GGA relaxed; DFT total energy = -51.62 eV per cell; calculated formation energy = 0.186 eV per atom; V = 13.38 Å³ per atom; D(E_F) = 0.627 states/eV per atom; symmetry = P4/mbm, No. 127
1.0
-6.1877 -3.0575 -2.0086
3.6353 -4.6980 -4.0475
0.1472 -1.6207 2.0134
Ir Pd Li
4 2 4
direct
0.3079 0.1921 0.5000
0.8079 0.3079 0.5000
0.1921 0.6921 0.5000
0.6921 0.8079 0.5000
0.5000 0.5000 0.0000
0.0000 0.0000 0.0000
0.8931 0.6069 0.0000
0.3931 0.8931 0.0000
0.6069 0.1069 0.0000
0.1069 0.3931 0.0000

Entry 5:
VCuNi2W PBE-GGA relaxed; DFT total energy = -30.78 eV per cell; calculated formation energy = 1.390 eV per atom; V = 16.31 Å³ per atom; D(E_F) = 0.946 states/eV per atom; symmetry = P4/mmm, No. 123
1.0
4.3005 0.0000 0.0000
0.0000 4.4099 0.0000
0.0000 0.0000 4.3005
Cu V Ni W
1 1 2 1
direct
0.5000 0.5000 0.5000
0.0000 0.0000 0.0000
0.0000 0.0000 0.5000
0.5000 0.0000 0.0000
0.0000 0.5000 0.0000

Entry 6:
Nd3DyPd3 PBE-GGA relaxed; DFT total energy = -77.65 eV per cell; calculated formation energy = -0.620 eV per atom; V = 26.24 Å³ per atom; D(E_F) = 0.862 states/eV per atom; symmetry = C2/m, No. 12
1.0
7.0319 1.1948 0.3295
-2.0631 6.8278 0.3295
-0.3847 -0.6212 7.2266
Nd Pd Dy
6 6 2
direct
0.2542 0.7458 0.0000
0.8243 0.1757 0.5000
0.7458 0.2542 0.0000
0.6538 0.6538 0.3708
0.3462 0.3462 0.6292
0.1757 0.8243 0.5000
0.0239 0.4982 0.2823
0.9371 0.9371 0.1867
0.5018 0.9761 0.7177
0.9761 0.5018 0.7177
0.0629 0.0629 0.8133
0.4982 0.0239 0.2823
0.7459 0.7459 0.8750
0.2541 0.2541 0.1250

Q: What is the formula in the fourth record?
A: Li2Ir2Pd

Please write out number 2 again, unchanged.
GdTh2In PBE-GGA relaxed; DFT total energy = -32.40 eV per cell; calculated formation energy = -0.185 eV per atom; V = 29.80 Å³ per atom; D(E_F) = 1.152 states/eV per atom; symmetry = P4/mmm, No. 123
1.0
-3.9650 -3.0732 -0.5239
2.1978 -2.1982 -3.7382
2.0494 -3.1670 3.0672
Gd Th In
1 2 1
direct
0.5000 0.0000 0.0000
0.0000 0.5000 0.0000
0.0000 0.0000 0.5000
0.5000 0.5000 0.5000

Q: The lowest DFT total energy belongs to which entry?
A: In12Sb5I3

Q: DFT total energy of number 3 (In12Sb5I3)?
A: -223.77 eV per cell